No. 1
The following is a SCAN calculation of ScMnMo2 at its PBEsol-relaxed geometry, from Alexandria via LeMat-Bulk.

Unit cell a=3.7029 b=3.7029 c=5.2274 alpha=110.74 beta=110.74 gamma=90.00
Closest atoms and distances in Å follow each position.
Atoms (fractional coordinates):
Sc1 0.5000 0.5000 0.0000  4 Mn 2.62, 8 Mo 2.92
Mo1 0.2500 0.7500 0.5000  4 Mo 2.62, 4 Mn 2.92, 4 Sc 2.92
Mo2 0.7500 0.2500 0.5000  4 Mo 2.62, 4 Mn 2.92, 4 Sc 2.92
Mn1 0.0000 0.0000 0.0000  4 Sc 2.62, 8 Mo 2.92

Values from the calculation:
**N(E_F)**: 0.64 states/eV per atom
**Total energy**: -25.3861 eV/atom

---

No. 2
The following is a SCAN calculation of GeRu2N at its PBEsol-relaxed geometry, from Alexandria via LeMat-Bulk.

Unit cell a=4.0572 b=4.0572 c=4.0572 alpha=60.00 beta=60.00 gamma=60.00
Closest atoms and distances in Å follow each position.
Atoms (fractional coordinates):
N1 0.0000 0.0000 0.0000  8 Ru 2.48
Ge1 0.5000 0.5000 0.5000  8 Ru 2.48
Ru1 0.7500 0.7500 0.7500  4 N 2.48, 4 Ge 2.48
Ru2 0.2500 0.2500 0.2500  4 Ge 2.48, 4 N 2.48

Values from the calculation:
**Formation energy without anion corrections**: 777 meV/atom
**N(E_F)**: 0.66 states/eV per atom
**Total energy**: -23.7308 eV/atom

---

No. 3
The following is a SCAN calculation of Bi4Te7Pb at its PBEsol-relaxed geometry, from Alexandria via LeMat-Bulk.

Unit cell a=4.4066 b=4.4066 c=23.9151 alpha=90.00 beta=90.00 gamma=120.00
Closest atoms and distances in Å follow each position.
Atoms (fractional coordinates):
Te1 0.6667 0.3333 0.9188  3 Pb 3.20, 3 Bi 3.24
Te2 0.0000 0.0000 0.7637  3 Bi 3.06
Te3 0.3333 0.6667 0.0812  3 Pb 3.20, 3 Bi 3.24
Te4 0.6667 0.3333 0.6553  3 Bi 3.07
Te5 0.0000 0.0000 0.2363  3 Bi 3.06
Te6 0.0000 0.0000 0.5000  6 Bi 3.24
Te7 0.3333 0.6667 0.3447  3 Bi 3.07
Bi1 0.6667 0.3333 0.1650  6 Te 3.06-3.24
Bi2 0.3333 0.6667 0.5836  6 Te 3.07-3.24
Bi3 0.3333 0.6667 0.8350  6 Te 3.06-3.24
Bi4 0.6667 0.3333 0.4164  6 Te 3.07-3.24
Pb1 0.0000 0.0000 0.0000  6 Te 3.20

Values from the calculation:
**Formation energy without anion corrections**: -202 meV/atom
**Total energy**: -54.4399 eV/atom

---

No. 4
The following is a SCAN calculation of ReW2Au at its PBEsol-relaxed geometry, from Alexandria via LeMat-Bulk.

Unit cell a=2.8412 b=4.8406 c=4.8160 alpha=100.07 beta=90.00 gamma=107.07
Closest atoms and distances in Å follow each position.
Atoms (fractional coordinates):
Au1 0.0000 0.0000 0.5000  6 W 2.78-2.83, 4 Re 2.80, 2 Au 2.84
W1 0.7538 0.5076 0.7552  3 Re 2.76-2.81, 6 W 2.76-2.84, 3 Au 2.78-2.83
W2 0.2462 0.4924 0.2448  3 Re 2.76-2.81, 6 W 2.76-2.84, 3 Au 2.78-2.83
Re1 0.5000 0.0000 0.0000  6 W 2.76-2.81, 4 Au 2.80, 2 Re 2.84

Values from the calculation:
**N(E_F)**: 0.64 states/eV per atom
**Total energy**: -69.5423 eV/atom

---

No. 5
The following is a SCAN calculation of MnIn3O at its PBEsol-relaxed geometry, from Alexandria via LeMat-Bulk.

Unit cell a=4.6443 b=4.6443 c=4.6443 alpha=90.00 beta=90.00 gamma=90.00
Closest atoms and distances in Å follow each position.
Atoms (fractional coordinates):
In1 0.0000 0.0000 0.5000  2 O 2.32
In2 0.5000 0.0000 0.0000  2 O 2.32
In3 0.0000 0.5000 0.0000  2 O 2.32
O1 0.0000 0.0000 0.0000  6 In 2.32
Mn1 0.5000 0.5000 0.5000  12 In 3.28

Values from the calculation:
**Formation energy without anion corrections**: -77 meV/atom
**N(E_F)**: 0.46 states/eV per atom
**Total energy**: -25.0058 eV/atom

---

No. 6
The following is a SCAN calculation of Li2PCl at its PBEsol-relaxed geometry, from Alexandria via LeMat-Bulk.

Unit cell a=2.8665 b=4.6668 c=4.6668 alpha=90.00 beta=90.00 gamma=90.00
Closest atoms and distances in Å follow each position.
Atoms (fractional coordinates):
P1 0.5000 0.5000 0.5000  8 Li 2.74, 2 P 2.87
Li1 0.0000 0.5000 0.0000  4 Cl 2.74, 4 P 2.74, 2 Li 2.87
Li2 0.0000 0.0000 0.5000  4 Cl 2.74, 4 P 2.74, 2 Li 2.87
Cl1 0.5000 0.0000 0.0000  8 Li 2.74, 2 Cl 2.87

Values from the calculation:
**Formation energy without anion corrections**: -680 meV/atom
**N(E_F)**: 0.43 states/eV per atom
**Total energy**: -6.4688 eV/atom